Record 1
# NaAg4Te

Crystalline NaAg4Te at its relaxed geometry (PBE-GGA, Alexandria).

```
data_NaAg4Te
_chemical_formula_sum 'Na1 Ag4 Te1'
_symmetry_space_group_name_H-M 'P 1'
_symmetry_Int_Tables_number 1
_cell_length_a 5.679
_cell_length_b 5.679
_cell_length_c 5.679
_cell_angle_alpha 60.00
_cell_angle_beta 60.00
_cell_angle_gamma 60.00
loop_
_symmetry_equiv_pos_as_xyz
'x,y,z'
loop_
_atom_site_label
_atom_site_type_symbol
_atom_site_fract_x
_atom_site_fract_y
_atom_site_fract_z
Ag1 Ag 0.626 0.123 0.626
Ag2 Ag 0.123 0.626 0.626
Ag3 Ag 0.626 0.626 0.626
Ag4 Ag 0.626 0.626 0.123
Te1 Te 0.250 0.250 0.250
Na1 Na 0.000 0.000 0.000
```

Properties
Electronic total energy (eV for the cell shown): -16.341
Magnetization (μB per cell): 0.00
Theoretical density (g/cm3): 7.46
Formation energy from raw total energies (kJ per mole of atoms): -7.64
Space group: No. 216
Fermi-level density of states (states/eV/cell): 3.40

Record 2
# Na3Ag4Te4

Crystalline Na3Ag4Te4 at its relaxed geometry (PBE-GGA, Alexandria).

```
data_Na3Ag4Te4
_chemical_formula_sum 'Na3 Ag4 Te4'
_symmetry_space_group_name_H-M 'P 1'
_symmetry_Int_Tables_number 1
_cell_length_a 4.738
_cell_length_b 7.710
_cell_length_c 9.188
_cell_angle_alpha 114.81
_cell_angle_beta 104.94
_cell_angle_gamma 90.00
loop_
_symmetry_equiv_pos_as_xyz
'x,y,z'
loop_
_atom_site_label
_atom_site_type_symbol
_atom_site_fract_x
_atom_site_fract_y
_atom_site_fract_z
Te1 Te 0.773 0.273 0.545
Te2 Te 0.500 0.780 0.000
Ag1 Ag 0.329 0.137 0.659
Na1 Na 0.000 0.500 0.000
Na2 Na 0.887 0.887 0.774
Ag2 Ag 0.329 0.522 0.659
Te3 Te 0.227 0.727 0.455
Na3 Na 0.113 0.113 0.226
Te4 Te 0.500 0.220 0.000
Ag3 Ag 0.671 0.478 0.341
Ag4 Ag 0.671 0.863 0.341
```

Properties
Electronic total energy (eV for the cell shown): -32.376
Magnetization (μB per cell): 0.00
Theoretical density (g/cm3): 5.75
Formation energy from raw total energies (kJ per mole of atoms): -39.00
Space group: No. 71
Fermi-level density of states (states/eV/cell): 3.54

Record 3
# NaAgTe4

Crystalline NaAgTe4 at its relaxed geometry (PBE-GGA, Alexandria).

```
data_NaAgTe4
_chemical_formula_sum 'Na2 Ag2 Te8'
_symmetry_space_group_name_H-M 'P 1'
_symmetry_Int_Tables_number 1
_cell_length_a 6.345
_cell_length_b 6.345
_cell_length_c 11.106
_cell_angle_alpha 106.60
_cell_angle_beta 106.60
_cell_angle_gamma 90.00
loop_
_symmetry_equiv_pos_as_xyz
'x,y,z'
loop_
_atom_site_label
_atom_site_type_symbol
_atom_site_fract_x
_atom_site_fract_y
_atom_site_fract_z
Te1 Te 0.766 0.761 0.522
Te2 Te 0.744 0.239 0.478
Te3 Te 0.256 0.761 0.522
Ag1 Ag 0.375 0.125 0.250
Te4 Te 0.261 0.756 0.022
Te5 Te 0.739 0.244 0.978
Na1 Na 0.125 0.375 0.750
Te6 Te 0.739 0.734 0.978
Te7 Te 0.261 0.266 0.022
Na2 Na 0.875 0.625 0.250
Ag2 Ag 0.625 0.875 0.750
Te8 Te 0.234 0.239 0.478
```

Properties
Electronic total energy (eV for the cell shown): -35.569
Magnetization (μB per cell): 0.00
Theoretical density (g/cm3): 5.21
Formation energy from raw total energies (kJ per mole of atoms): -16.85
Space group: No. 141
Fermi-level density of states (states/eV/cell): 4.11

Record 4
# NaAg6Te2

Crystalline NaAg6Te2 at its relaxed geometry (PBE-GGA, Alexandria).

```
data_NaAg6Te2
_chemical_formula_sum 'Na1 Ag6 Te2'
_symmetry_space_group_name_H-M 'P 1'
_symmetry_Int_Tables_number 1
_cell_length_a 4.477
_cell_length_b 4.477
_cell_length_c 10.562
_cell_angle_alpha 90.00
_cell_angle_beta 90.00
_cell_angle_gamma 90.00
loop_
_symmetry_equiv_pos_as_xyz
'x,y,z'
loop_
_atom_site_label
_atom_site_type_symbol
_atom_site_fract_x
_atom_site_fract_y
_atom_site_fract_z
Ag1 Ag 0.000 0.000 0.500
Ag2 Ag 0.500 0.500 0.500
Ag3 Ag 0.500 0.000 0.327
Te1 Te 0.500 0.500 0.840
Ag4 Ag 0.000 0.500 0.327
Na1 Na 0.000 0.000 0.000
Ag5 Ag 0.000 0.500 0.673
Te2 Te 0.500 0.500 0.160
Ag6 Ag 0.500 0.000 0.673
```

Properties
Electronic total energy (eV for the cell shown): -25.993
Magnetization (μB per cell): 0.00
Theoretical density (g/cm3): 7.26
Formation energy from raw total energies (kJ per mole of atoms): -13.76
Space group: No. 123
Fermi-level density of states (states/eV/cell): 0.72

Record 5
# NaAg4Te3

Crystalline NaAg4Te3 at its relaxed geometry (PBE-GGA, Alexandria).

```
data_NaAg4Te3
_chemical_formula_sum 'Na1 Ag4 Te3'
_symmetry_space_group_name_H-M 'P 1'
_symmetry_Int_Tables_number 1
_cell_length_a 4.576
_cell_length_b 4.576
_cell_length_c 12.141
_cell_angle_alpha 79.14
_cell_angle_beta 79.14
_cell_angle_gamma 60.00
loop_
_symmetry_equiv_pos_as_xyz
'x,y,z'
loop_
_atom_site_label
_atom_site_type_symbol
_atom_site_fract_x
_atom_site_fract_y
_atom_site_fract_z
Te1 Te 0.000 0.000 0.000
Ag1 Ag 0.916 0.916 0.252
Te2 Te 0.780 0.780 0.660
Te3 Te 0.220 0.220 0.340
Na1 Na 0.500 0.500 0.500
Ag2 Ag 0.084 0.084 0.748
Ag3 Ag 0.298 0.298 0.105
Ag4 Ag 0.702 0.702 0.895
```

Properties
Electronic total energy (eV for the cell shown): -23.919
Magnetization (μB per cell): 0.00
Polymorph energy (0 for the lowest one) (eV/f.u.): 0.00
Theoretical density (g/cm3): 6.47
Formation energy from raw total energies (kJ per mole of atoms): -21.35
Space group: No. 166
Fermi-level density of states (states/eV/cell): 3.28

Record 6
# Na5Ag4Te4

Crystalline Na5Ag4Te4 at its relaxed geometry (PBE-GGA, Alexandria).

```
data_Na5Ag4Te4
_chemical_formula_sum 'Na5 Ag4 Te4'
_symmetry_space_group_name_H-M 'P 1'
_symmetry_Int_Tables_number 1
_cell_length_a 4.393
_cell_length_b 9.117
_cell_length_c 9.117
_cell_angle_alpha 86.67
_cell_angle_beta 76.06
_cell_angle_gamma 76.06
loop_
_symmetry_equiv_pos_as_xyz
'x,y,z'
loop_
_atom_site_label
_atom_site_type_symbol
_atom_site_fract_x
_atom_site_fract_y
_atom_site_fract_z
Te1 Te 0.752 0.307 0.188
Te2 Te 0.940 0.812 0.307
Na1 Na 0.368 0.350 0.914
Ag1 Ag 0.903 0.532 0.661
Te3 Te 0.248 0.693 0.812
Ag2 Ag 0.097 0.468 0.339
Na2 Na 0.000 0.000 0.000
Ag3 Ag 0.435 0.661 0.468
Na3 Na 0.282 0.086 0.350
Ag4 Ag 0.565 0.339 0.532
Te4 Te 0.060 0.188 0.693
Na4 Na 0.718 0.914 0.650
Na5 Na 0.632 0.650 0.086
```

Properties
Electronic total energy (eV for the cell shown): -37.367
Magnetization (μB per cell): 0.00
Theoretical density (g/cm3): 5.10
Formation energy from raw total energies (kJ per mole of atoms): -50.47
Space group: No. 87
Fermi-level density of states (states/eV/cell): 1.47

Record 7
# Na2Ag3Te2

Crystalline Na2Ag3Te2 at its relaxed geometry (PBE-GGA, Alexandria).

```
data_Na2Ag3Te2
_chemical_formula_sum 'Na2 Ag3 Te2'
_symmetry_space_group_name_H-M 'P 1'
_symmetry_Int_Tables_number 1
_cell_length_a 4.607
_cell_length_b 6.089
_cell_length_c 7.174
_cell_angle_alpha 108.65
_cell_angle_beta 90.00
_cell_angle_gamma 112.23
loop_
_symmetry_equiv_pos_as_xyz
'x,y,z'
loop_
_atom_site_label
_atom_site_type_symbol
_atom_site_fract_x
_atom_site_fract_y
_atom_site_fract_z
Na1 Na 0.125 0.251 0.755
Ag1 Ag 0.396 0.793 0.568
Ag2 Ag 0.500 0.000 0.000
Te1 Te 0.165 0.330 0.222
Te2 Te 0.835 0.670 0.778
Na2 Na 0.875 0.749 0.245
Ag3 Ag 0.604 0.207 0.432
```

Properties
Electronic total energy (eV for the cell shown): -19.496
Magnetization (μB per cell): 0.00
Theoretical density (g/cm3): 5.93
Formation energy from raw total energies (kJ per mole of atoms): -27.85
Space group: No. 12
Fermi-level density of states (states/eV/cell): 1.66

Record 8
# NaAgTe3

Crystalline NaAgTe3 at its relaxed geometry (PBE-GGA, Alexandria).

```
data_NaAgTe3
_chemical_formula_sum 'Na2 Ag2 Te6'
_symmetry_space_group_name_H-M 'P 1'
_symmetry_Int_Tables_number 1
_cell_length_a 6.859
_cell_length_b 6.466
_cell_length_c 8.905
_cell_angle_alpha 84.49
_cell_angle_beta 79.57
_cell_angle_gamma 57.96
loop_
_symmetry_equiv_pos_as_xyz
'x,y,z'
loop_
_atom_site_label
_atom_site_type_symbol
_atom_site_fract_x
_atom_site_fract_y
_atom_site_fract_z
Te1 Te 0.812 0.884 0.945
Te2 Te 0.304 0.884 0.555
Na1 Na 0.833 0.334 0.750
Ag1 Ag 0.526 0.948 0.750
Ag2 Ag 0.474 0.052 0.250
Te3 Te 0.696 0.116 0.445
Te4 Te 0.775 0.450 0.250
Te5 Te 0.225 0.550 0.750
Na2 Na 0.167 0.666 0.250
Te6 Te 0.188 0.116 0.055
```

Properties
Electronic total energy (eV for the cell shown): -29.610
Magnetization (μB per cell): 0.00
Polymorph energy (0 for the lowest one) (eV/f.u.): 0.00
Theoretical density (g/cm3): 5.18
Formation energy from raw total energies (kJ per mole of atoms): -23.34
Space group: No. 15
Fermi-level density of states (states/eV/cell): 0.19

Record 9
# NaAgTe5

Crystalline NaAgTe5 at its relaxed geometry (PBE-GGA, Alexandria).

```
data_NaAgTe5
_chemical_formula_sum 'Na2 Ag2 Te10'
_symmetry_space_group_name_H-M 'P 1'
_symmetry_Int_Tables_number 1
_cell_length_a 7.063
_cell_length_b 7.063
_cell_length_c 12.216
_cell_angle_alpha 75.38
_cell_angle_beta 75.38
_cell_angle_gamma 54.13
loop_
_symmetry_equiv_pos_as_xyz
'x,y,z'
loop_
_atom_site_label
_atom_site_type_symbol
_atom_site_fract_x
_atom_site_fract_y
_atom_site_fract_z
Te1 Te 0.220 0.525 0.024
Te2 Te 0.525 0.220 0.524
Te3 Te 0.854 0.146 0.250
Te4 Te 0.372 0.112 0.755
Ag1 Ag 0.000 0.000 0.500
Ag2 Ag 0.000 0.000 0.000
Te5 Te 0.475 0.780 0.476
Te6 Te 0.628 0.888 0.245
Na1 Na 0.352 0.648 0.250
Te7 Te 0.146 0.854 0.750
Na2 Na 0.648 0.352 0.750
Te8 Te 0.780 0.475 0.976
Te9 Te 0.112 0.372 0.255
Te10 Te 0.888 0.628 0.745
```

Properties
Electronic total energy (eV for the cell shown): -41.572
Magnetization (μB per cell): 0.00
Theoretical density (g/cm3): 5.39
Formation energy from raw total energies (kJ per mole of atoms): -12.50
Space group: No. 15
Fermi-level density of states (states/eV/cell): 3.55

Record 10
# Na2Ag2Te3

Crystalline Na2Ag2Te3 at its relaxed geometry (PBE-GGA, Alexandria).

```
data_Na2Ag2Te3
_chemical_formula_sum 'Na2 Ag2 Te3'
_symmetry_space_group_name_H-M 'P 1'
_symmetry_Int_Tables_number 1
_cell_length_a 4.630
_cell_length_b 6.763
_cell_length_c 7.643
_cell_angle_alpha 93.30
_cell_angle_beta 90.28
_cell_angle_gamma 109.94
loop_
_symmetry_equiv_pos_as_xyz
'x,y,z'
loop_
_atom_site_label
_atom_site_type_symbol
_atom_site_fract_x
_atom_site_fract_y
_atom_site_fract_z
Ag1 Ag 0.339 0.676 0.022
Ag2 Ag 0.661 0.324 0.978
Te1 Te 0.000 0.000 0.000
Na1 Na 0.842 0.690 0.674
Na2 Na 0.158 0.310 0.326
Te2 Te 0.177 0.359 0.736
Te3 Te 0.823 0.641 0.264
```

Properties
Electronic total energy (eV for the cell shown): -20.273
Magnetization (μB per cell): 0.00
Polymorph energy (0 for the lowest one) (eV/f.u.): 0.22
Theoretical density (g/cm3): 4.77
Formation energy from raw total energies (kJ per mole of atoms): -34.57
Space group: No. 2
Fermi-level density of states (states/eV/cell): 0.86